Computed, not measured: a relaxed structure of AlSiCl at the GGA-PBE level of DFT.

Results
crystal system	tetragonal
total DFT energy (no corrections)	-21.53	eV per cell
M_tot	0.0	μB/cell
formation energy without anion corrections	0.08	eV/atom
DOS(E_F)	1.41	states/eV/cell
distance to the lowest polymorph of the same formula	1.938	eV/f.u.

Unit cell a=2.9932 b=2.9932 c=14.2884 alpha=90.00 beta=90.00 gamma=90.00
Space group I4mm (No. 107)
Unique sites:
Al  0.0000  0.0000  0.0000 [2 per cell]
Si  0.0000  0.0000  0.3753 [2 per cell]
Cl  0.0000  0.0000  0.6144 [2 per cell]